LiTaPb | GGA-PBE | optimized geometry

Calculated values
DOS(E_F) ... 2.523 states/eV/cell
Crystal system ... cubic
E_form ... 1.013 eV per atom
E_tot ... -4.812 eV per atom
Calculated volume ... 24.2 A^3/atom

Cell: 4.680 4.680 4.680 Å, 60.00 60.00 60.00°
Fractional coordinates of all 3 atoms:
Li1 0.000 0.000 0.000
Pb1 0.500 0.500 0.500
Ta1 0.750 0.750 0.750

***

Mg7In4Pb | GGA-PBE | optimized geometry

Calculated values
DOS(E_F) ... 5.506 states/eV/cell
Crystal system ... monoclinic
E_form ... 0.045 eV per atom
E_tot ... -2.107 eV per atom
Calculated volume ... 25.5 A^3/atom

Cell: 5.610 9.810 6.455 Å, 82.44 64.24 73.38°
Fractional coordinates of all 12 atoms:
Mg1 0.792 0.920 0.497
Mg2 0.208 0.080 0.503
Mg3 0.040 0.628 0.293
Mg4 0.656 0.458 0.229
Mg5 0.500 0.000 0.000
Mg6 0.344 0.542 0.771
Mg7 0.960 0.372 0.707
Pb1 0.000 0.000 0.000
In1 0.731 0.688 0.850
In2 0.586 0.230 0.597
In3 0.269 0.312 0.150
In4 0.414 0.770 0.403

***

LaCdTe2 | GGA-PBE | optimized geometry

Calculated values
DOS(E_F) ... 10.886 states/eV/cell
Crystal system ... tetragonal
E_tot ... -3.741 eV per atom
Energy relative to the elements, uncorrected ... -68.47 kJ per mole of atoms
Calculated volume ... 44.3 A^3/atom

Cell: 7.162 7.162 8.571 Å, 65.30 65.30 90.00°
Fractional coordinates of all 8 atoms:
Cd1 0.250 0.750 0.500
Cd2 0.500 0.500 0.000
Te1 0.375 0.390 0.750
Te2 0.140 0.625 0.250
Te3 0.610 0.125 0.250
Te4 0.875 0.860 0.750
La1 0.000 0.000 0.000
La2 0.750 0.250 0.500